No. 1
Below is a relaxed Rb3NiAg2Cl9 crystal, with properties calculated at the PBE level.

Results
Space group   P-3m1
M_tot   0.2 μB/cell
Raw formation energy   -104.5 kJ/mol of atoms

Cell: 7.167 7.167 8.729 Å, 90.00 90.00 120.00°
Sites, in units of the cell vectors:
Rb (0.000, 0.000, 0.000)
Rb (0.333, 0.667, 0.676)
Rb (0.667, 0.333, 0.324)
Ni (0.000, 0.000, 0.500)
Ag (0.333, 0.667, 0.178)
Ag (0.667, 0.333, 0.822)
Cl (0.000, 0.500, 0.000)
Cl (0.154, 0.309, 0.347)
Cl (0.154, 0.846, 0.347)
Cl (0.309, 0.154, 0.653)
Cl (0.500, 0.000, 0.000)
Cl (0.500, 0.500, 0.000)
Cl (0.691, 0.846, 0.347)
Cl (0.846, 0.154, 0.653)
Cl (0.846, 0.691, 0.653)


No. 2
Below is a relaxed RbNi2AgCl8 crystal, with properties calculated at the PBE level.

Results
Space group   R-3
M_tot   6.0 μB/cell
Raw formation energy   -66.4 kJ/mol of atoms

Cell: 10.084 10.084 10.084 Å, 37.18 37.18 37.18°
Sites, in units of the cell vectors:
Rb (0.000, 0.000, 0.000)
Ni (0.247, 0.247, 0.247)
Ni (0.753, 0.753, 0.753)
Ag (0.500, 0.500, 0.500)
Cl (0.099, 0.452, 0.776)
Cl (0.224, 0.901, 0.548)
Cl (0.324, 0.324, 0.324)
Cl (0.452, 0.776, 0.099)
Cl (0.548, 0.224, 0.901)
Cl (0.676, 0.676, 0.676)
Cl (0.776, 0.099, 0.452)
Cl (0.901, 0.548, 0.224)


No. 3
Below is a relaxed NiAgRhCl6 crystal, with properties calculated at the PBE level.

Results
Space group   P4_2nm
M_tot   3.8 μB/cell
Raw formation energy   -44.9 kJ/mol of atoms

Cell: 5.864 5.864 11.179 Å, 90.00 90.00 90.00°
Sites, in units of the cell vectors:
Ni (0.000, 0.000, 0.000)
Ni (0.500, 0.500, 0.500)
Ag (0.000, 0.000, 0.330)
Ag (0.500, 0.500, 0.830)
Rh (0.000, 0.000, 0.666)
Rh (0.500, 0.500, 0.166)
Cl (0.180, 0.180, 0.832)
Cl (0.202, 0.202, 0.511)
Cl (0.210, 0.210, 0.158)
Cl (0.290, 0.710, 0.658)
Cl (0.298, 0.702, 0.011)
Cl (0.320, 0.680, 0.332)
Cl (0.680, 0.320, 0.332)
Cl (0.702, 0.298, 0.011)
Cl (0.710, 0.290, 0.658)
Cl (0.790, 0.790, 0.158)
Cl (0.798, 0.798, 0.511)
Cl (0.820, 0.820, 0.832)


No. 4
Below is a relaxed NiAgSCl2 crystal, with properties calculated at the PBE level.

Results
Space group   P4/mmm
M_tot   1.7 μB/cell
Raw formation energy   63.0 kJ/mol of atoms

Cell: 4.851 4.851 5.079 Å, 90.00 90.00 90.00°
Sites, in units of the cell vectors:
Ni (0.000, 0.000, 0.000)
Ag (0.500, 0.500, 0.500)
S (0.500, 0.500, 0.000)
Cl (0.000, 0.500, 0.500)
Cl (0.500, 0.000, 0.500)


No. 5
Below is a relaxed NiAgSCl2 crystal, with properties calculated at the PBE level.

Results
Space group   P4/mmm
M_tot   1.3 μB/cell
Raw formation energy   1.9 kJ/mol of atoms

Cell: 4.802 4.802 4.378 Å, 90.00 90.00 90.00°
Sites, in units of the cell vectors:
Ni (0.000, 0.000, 0.000)
Ag (0.500, 0.500, 0.500)
S (0.000, 0.000, 0.500)
Cl (0.000, 0.500, 0.000)
Cl (0.500, 0.000, 0.000)


No. 6
Below is a relaxed Ni2AgSbCl crystal, with properties calculated at the PBE level.

Results
Space group   P4/mmm
M_tot   0.0 μB/cell
Raw formation energy   52.5 kJ/mol of atoms

Cell: 4.205 4.205 5.504 Å, 90.00 90.00 90.00°
Sites, in units of the cell vectors:
Ni (0.000, 0.500, 0.000)
Ni (0.500, 0.000, 0.000)
Ag (0.000, 0.000, 0.500)
Sb (0.500, 0.500, 0.500)
Cl (0.000, 0.000, 0.000)


No. 7
Below is a relaxed SrNiAgCl6 crystal, with properties calculated at the PBE level.

Results
Space group   P-31c
M_tot   2.0 μB/cell
Raw formation energy   -104.0 kJ/mol of atoms

Cell: 6.720 6.720 11.332 Å, 90.00 90.00 120.00°
Sites, in units of the cell vectors:
Sr (0.333, 0.667, 0.250)
Sr (0.667, 0.333, 0.750)
Ni (0.333, 0.667, 0.750)
Ni (0.667, 0.333, 0.250)
Ag (0.000, 0.000, 0.000)
Ag (0.000, 0.000, 0.500)
Cl (0.063, 0.374, 0.627)
Cl (0.063, 0.689, 0.873)
Cl (0.311, 0.374, 0.873)
Cl (0.311, 0.937, 0.627)
Cl (0.374, 0.063, 0.127)
Cl (0.374, 0.311, 0.373)
Cl (0.626, 0.689, 0.627)
Cl (0.626, 0.937, 0.873)
Cl (0.689, 0.063, 0.373)
Cl (0.689, 0.626, 0.127)
Cl (0.937, 0.311, 0.127)
Cl (0.937, 0.626, 0.373)


No. 8
Below is a relaxed TaNiAg2Cl crystal, with properties calculated at the PBE level.

Results
Space group   P4/mmm
M_tot   0.9 μB/cell
Raw formation energy   127.2 kJ/mol of atoms

Cell: 4.746 4.746 4.525 Å, 90.00 90.00 90.00°
Sites, in units of the cell vectors:
Ta (0.000, 0.000, 0.000)
Ni (0.500, 0.500, 0.000)
Ag (0.000, 0.500, 0.500)
Ag (0.500, 0.000, 0.500)
Cl (0.000, 0.000, 0.500)


No. 9
Below is a relaxed TlNiAgCl4 crystal, with properties calculated at the PBE level.

Results
Space group   P2_1/m
M_tot   4.0 μB/cell
Raw formation energy   -57.8 kJ/mol of atoms

Cell: 6.394 7.248 8.536 Å, 90.00 103.10 90.00°
Sites, in units of the cell vectors:
Tl (0.243, 0.250, 0.449)
Tl (0.757, 0.750, 0.551)
Ni (0.284, 0.750, 0.166)
Ni (0.716, 0.250, 0.834)
Ag (0.359, 0.250, 0.998)
Ag (0.641, 0.750, 0.002)
Cl (0.018, 0.750, 0.946)
Cl (0.163, 0.750, 0.395)
Cl (0.472, 0.016, 0.778)
Cl (0.472, 0.484, 0.778)
Cl (0.528, 0.516, 0.222)
Cl (0.528, 0.984, 0.222)
Cl (0.837, 0.250, 0.605)
Cl (0.982, 0.250, 0.054)


No. 10
Below is a relaxed TlNiAg2Cl6 crystal, with properties calculated at the PBE level.

Results
Space group   C2/c
M_tot   2.1 μB/cell
Raw formation energy   -51.3 kJ/mol of atoms

Cell: 9.282 9.282 8.631 Å, 113.27 113.27 72.83°
Sites, in units of the cell vectors:
Tl (0.201, 0.799, 0.750)
Tl (0.799, 0.201, 0.250)
Ni (0.192, 0.808, 0.250)
Ni (0.808, 0.192, 0.750)
Ag (0.253, 0.352, 0.832)
Ag (0.352, 0.253, 0.332)
Ag (0.648, 0.747, 0.668)
Ag (0.747, 0.648, 0.168)
Cl (0.007, 0.784, 0.329)
Cl (0.115, 0.650, 0.979)
Cl (0.216, 0.993, 0.171)
Cl (0.243, 0.424, 0.580)
Cl (0.350, 0.885, 0.521)
Cl (0.424, 0.243, 0.080)
Cl (0.576, 0.757, 0.920)
Cl (0.650, 0.115, 0.479)
Cl (0.757, 0.576, 0.420)
Cl (0.784, 0.007, 0.829)
Cl (0.885, 0.350, 0.021)
Cl (0.993, 0.216, 0.671)


No. 11
Below is a relaxed Tl3NiAg3Cl8 crystal, with properties calculated at the PBE level.

Results
Space group   C2/m
M_tot   2.1 μB/cell
Raw formation energy   -64.0 kJ/mol of atoms

Cell: 8.122 8.122 8.701 Å, 117.81 117.81 59.84°
Sites, in units of the cell vectors:
Tl (0.000, 0.000, 0.000)
Tl (0.000, 0.500, 0.000)
Tl (0.500, 0.000, 0.000)
Ni (0.000, 0.000, 0.500)
Ag (0.000, 0.500, 0.500)
Ag (0.500, 0.000, 0.500)
Ag (0.500, 0.500, 0.500)
Cl (0.207, 0.207, 0.684)
Cl (0.208, 0.771, 0.685)
Cl (0.229, 0.792, 0.315)
Cl (0.266, 0.266, 0.300)
Cl (0.734, 0.734, 0.700)
Cl (0.771, 0.208, 0.685)
Cl (0.792, 0.229, 0.315)
Cl (0.793, 0.793, 0.316)


No. 12
Below is a relaxed TlNiAgCl6 crystal, with properties calculated at the PBE level.

Results
Space group   P312
M_tot   0.1 μB/cell
Raw formation energy   -51.1 kJ/mol of atoms

Cell: 6.622 6.622 6.452 Å, 90.00 90.00 120.00°
Sites, in units of the cell vectors:
Tl (0.000, 0.000, 0.000)
Ni (0.667, 0.333, 0.500)
Ag (0.333, 0.667, 0.500)
Cl (0.395, 0.047, 0.706)
Cl (0.395, 0.348, 0.294)
Cl (0.652, 0.047, 0.294)
Cl (0.652, 0.605, 0.706)
Cl (0.953, 0.348, 0.706)
Cl (0.953, 0.605, 0.294)